The following is a PBE+U calculation of a relaxed structure of SrPrVSnO6, from Alexandria.

For the size of the total moment, the calculation gives 2.00 μB/cell. As for the total energy: -70.9 eV per cell. The density of states at the Fermi level is 5.67 states/eV per cell.

Cell lengths 5.702, 5.702, 5.702 Å; angles 60.00, 60.00, 60.00 degrees
Site moments in Bohr magnetons follow the coordinates.
Fractional coordinates of all 10 atoms:
Pr 0.750 0.750 0.750  0.04
V 0.500 0.500 0.500  1.91
O 0.748 0.748 0.252  -0.02
Sn 0.000 0.000 0.000  0.00
O 0.748 0.252 0.748  -0.02
O 0.252 0.748 0.252  -0.02
O 0.748 0.252 0.252  -0.02
Sr 0.250 0.250 0.250  0.01
O 0.252 0.748 0.748  -0.02
O 0.252 0.252 0.748  -0.02